No. 1
Pr2Y2CIBr2Cl2: relaxed, PBE.

Computed properties:
Polymorph energy (0 for the lowest one) = 9 meV per atom
Total DFT energy (no corrections) = -55.0 eV per cell
M_tot = 0.333 μB per formula unit

Cell lengths 9.0481, 9.0481, 8.5381 Å; angles 105.10, 105.10, 24.89 degrees
Last column: nearest neighbours and their distance in Å.
Sites, in units of the cell vectors:
Br1 0.1669 0.1669 0.3511  1 Y 2.90, 2 Pr 2.97
Br2 0.8331 0.8331 0.6489  1 Y 2.90, 2 Pr 2.97
C1 0.5000 0.5000 0.0000  2 Pr 2.52, 4 Y 2.55
Cl1 0.8363 0.8363 0.1604  1 Y 2.83, 2 Pr 2.90
Cl2 0.1637 0.1637 0.8396  1 Y 2.83, 2 Pr 2.90
I1 0.5000 0.5000 0.5000  4 Y 3.28
Pr1 0.6483 0.6483 0.0808  1 C 2.52
Pr2 0.3517 0.3517 0.9192  1 C 2.52
Y1 0.9998 0.9998 0.1914  2 C 2.55, 1 Cl 2.83
Y2 0.0002 0.0002 0.8086  2 C 2.55, 1 Cl 2.83

No. 2
Pr2Y2CIBr2Cl2: relaxed, PBE.

Computed properties:
Polymorph energy (0 for the lowest one) = 0 meV per atom
Total DFT energy (no corrections) = -55.1 eV per cell
M_tot = 0.010 μB per formula unit

Cell lengths 9.1832, 9.1832, 8.9365 Å; angles 102.73, 102.73, 24.80 degrees
Last column: nearest neighbours and their distance in Å.
Sites, in units of the cell vectors:
Br1 0.8254 0.8254 0.1471  3 Y 2.92-3.27, 1 Pr 3.07
Br2 0.1746 0.1746 0.8529  3 Y 2.92-3.27, 1 Pr 3.07
C1 0.5000 0.5000 0.0000  2 Y 2.41, 4 Pr 2.64
Cl1 0.1653 0.1653 0.2841  2 Y 2.73, 1 Pr 2.89
Cl2 0.8347 0.8347 0.7159  2 Y 2.73, 1 Pr 2.89
I1 0.5000 0.5000 0.5000  4 Pr 3.35
Pr1 0.0003 0.0003 0.1966  2 C 2.64, 1 Cl 2.89
Pr2 0.9997 0.9997 0.8034  2 C 2.64, 1 Cl 2.89
Y1 0.6382 0.6382 0.0669  1 C 2.41
Y2 0.3618 0.3618 0.9331  1 C 2.41

No. 3
Pr2Y2CIBr2Cl2: relaxed, PBE.

Computed properties:
Polymorph energy (0 for the lowest one) = 6 meV per atom
Total DFT energy (no corrections) = -55.0 eV per cell
M_tot = 0.367 μB per formula unit

Cell lengths 9.2373, 9.2373, 8.4856 Å; angles 104.03, 104.03, 24.39 degrees
Last column: nearest neighbours and their distance in Å.
Sites, in units of the cell vectors:
Br1 0.8340 0.8340 0.1780  1 Y 2.98, 3 Pr 3.03-3.32
Br2 0.1660 0.1660 0.8220  1 Y 2.98, 3 Pr 3.03-3.32
C1 0.5000 0.5000 0.0000  2 Pr 2.53, 4 Y 2.55
Cl1 0.1557 0.1557 0.3298  1 Y 2.75, 2 Pr 2.85
Cl2 0.8443 0.8443 0.6702  1 Y 2.75, 2 Pr 2.85
I1 0.5000 0.5000 0.5000  4 Y 3.26
Pr1 0.6444 0.6444 0.0801  1 C 2.53
Pr2 0.3556 0.3556 0.9199  1 C 2.53
Y1 0.0006 0.0006 0.1931  2 C 2.55, 1 Cl 2.75
Y2 0.9994 0.9994 0.8069  2 C 2.55, 1 Cl 2.75

No. 4
Sm4CIBr2Cl2: relaxed, PBE.

Computed properties:
Total DFT energy (no corrections) = -51.5 eV per cell
M_tot = 0.236 μB per formula unit

Cell lengths 8.9997, 8.9997, 8.6902 Å; angles 104.24, 104.24, 25.27 degrees
Last column: nearest neighbours and their distance in Å.
Sites, in units of the cell vectors:
Br1 0.1707 0.1707 0.3323  3 Sm 2.92-2.96
Br2 0.8293 0.8293 0.6677  3 Sm 2.92-2.96
C1 0.5000 0.5000 0.0000  6 Sm 2.46-2.60
Cl1 0.8295 0.8295 0.1399  4 Sm 2.84-3.15
Cl2 0.1705 0.1705 0.8601  4 Sm 2.84-3.15
I1 0.5000 0.5000 0.5000  4 Sm 3.30
Sm1 0.6448 0.6448 0.0767  1 C 2.46
Sm2 0.9983 0.9983 0.1938  2 C 2.60, 1 Cl 2.88
Sm3 0.0017 0.0017 0.8062  2 C 2.60, 1 Cl 2.88
Sm4 0.3552 0.3552 0.9233  1 C 2.46

No. 5
Sm4CIBr2Cl2: relaxed, PBE.

Computed properties:
Total DFT energy (no corrections) = -51.5 eV per cell
M_tot = 0.173 μB per formula unit

Cell lengths 9.2264, 9.2264, 8.6662 Å; angles 104.26, 104.26, 24.56 degrees
Last column: nearest neighbours and their distance in Å.
Sites, in units of the cell vectors:
Br1 0.8300 0.8300 0.1563  4 Sm 2.97-3.30
Br2 0.1700 0.1700 0.8437  4 Sm 2.97-3.30
C1 0.5000 0.5000 0.0000  6 Sm 2.47-2.59
Cl1 0.1612 0.1612 0.3142  3 Sm 2.79-2.82
Cl2 0.8388 0.8388 0.6858  3 Sm 2.79-2.82
I1 0.5000 0.5000 0.5000  4 Sm 3.29
Sm1 0.6413 0.6413 0.0788  1 C 2.47
Sm2 0.0005 0.0005 0.1951  2 C 2.59, 1 Cl 2.82
Sm3 0.9995 0.9995 0.8049  2 C 2.59, 1 Cl 2.82
Sm4 0.3587 0.3587 0.9212  1 C 2.47

No. 6
Sm4CI2BrCl2: relaxed, PBE.

Computed properties:
Total DFT energy (no corrections) = -50.7 eV per cell
M_tot = 0.214 μB per formula unit

Cell lengths 9.5352, 9.5352, 8.2823 Å; angles 101.33, 101.33, 23.79 degrees
Last column: nearest neighbours and their distance in Å.
Sites, in units of the cell vectors:
Br1 0.5000 0.5000 0.0000  4 Sm 3.14
C1 0.5000 0.5000 0.5000  6 Sm 2.48-2.60
Cl1 0.8488 0.8488 0.1826  3 Sm 2.79-2.81
Cl2 0.1512 0.1512 0.8174  3 Sm 2.79-2.81
I1 0.1735 0.1735 0.3057  4 Sm 3.15-3.50
I2 0.8265 0.8265 0.6943  4 Sm 3.15-3.50
Sm1 0.0013 0.0013 0.2959  2 C 2.60, 1 Cl 2.81
Sm2 0.3644 0.3644 0.4269  1 C 2.48
Sm3 0.6356 0.6356 0.5731  1 C 2.48
Sm4 0.9987 0.9987 0.7041  2 C 2.60, 1 Cl 2.81